# 1
An optimized crystal structure of LiPu2Ni4Ge3, computed with GGA-PBE.

```
data_LiPu2Ni4Ge3
_space_group_name_H-M_alt 'P -4 m 2'
_space_group_IT_number 115
_cell_length_a 3.983
_cell_length_b 3.983
_cell_length_c 10.148
_cell_angle_alpha 90.00
_cell_angle_beta 90.00
_cell_angle_gamma 90.00
loop_
_space_group_symop_operation_xyz
'x,y,z'
'y,-x,-z'
'-x,-y,z'
'-y,x,-z'
'-x,y,z'
'-y,-x,-z'
'x,-y,z'
'y,x,-z'
loop_
_atom_site_label
_atom_site_type_symbol
_atom_site_fract_x
_atom_site_fract_y
_atom_site_fract_z
_atom_site_occupancy
Li1 Li 0.000 0.000 0.000 1
Pu1 Pu 0.000 0.500 0.751 1
Ni1 Ni 0.000 0.000 0.500 1
Ni2 Ni 0.000 0.500 0.137 1
Ni3 Ni 0.500 0.500 0.500 1
Ge1 Ge 0.000 0.500 0.370 1
Ge2 Ge 0.500 0.500 0.000 1
```


# 2
An optimized crystal structure of LiPuNiGe2, computed with GGA-PBE.

```
data_LiPuNiGe2
_space_group_name_H-M_alt 'I -4 m 2'
_space_group_IT_number 119
_space_group_name_Hall 'I -4 -2'
_cell_length_a 4.079
_cell_length_b 4.079
_cell_length_c 10.231
_cell_angle_alpha 90.00
_cell_angle_beta 90.00
_cell_angle_gamma 90.00
loop_
_atom_site_label
_atom_site_type_symbol
_atom_site_fract_x
_atom_site_fract_y
_atom_site_fract_z
_atom_site_occupancy
Li1 Li 0.000 0.000 0.000 1
Pu1 Pu 0.000 0.500 0.250 1
Ni1 Ni 0.000 0.000 0.500 1
Ge1 Ge 0.000 0.500 0.628 1
```


# 3
An optimized crystal structure of RbLi2NiGe, computed with GGA-PBE.

```
data_RbLi2NiGe
_space_group_name_H-M_alt 'P 4/m m m'
_space_group_IT_number 123
_space_group_name_Hall '-P 4 2'
_cell_length_a 5.102
_cell_length_b 5.102
_cell_length_c 4.480
_cell_angle_alpha 90.00
_cell_angle_beta 90.00
_cell_angle_gamma 90.00
loop_
_atom_site_label
_atom_site_type_symbol
_atom_site_fract_x
_atom_site_fract_y
_atom_site_fract_z
_atom_site_occupancy
Rb1 Rb 0.000 0.000 0.000 1
Li1 Li 0.000 0.500 0.500 1
Ni1 Ni 0.500 0.500 0.500 1
Ge1 Ge 0.500 0.500 0.000 1
```


# 4
An optimized crystal structure of LiScNiGe, computed with GGA-PBE.

```
data_LiScNiGe
_space_group_name_H-M_alt 'F -4 3 m'
_space_group_IT_number 216
_space_group_name_Hall 'F -4 2 3'
_cell_length_a 6.064
_cell_length_b 6.064
_cell_length_c 6.064
_cell_angle_alpha 90.00
_cell_angle_beta 90.00
_cell_angle_gamma 90.00
loop_
_atom_site_label
_atom_site_type_symbol
_atom_site_fract_x
_atom_site_fract_y
_atom_site_fract_z
_atom_site_occupancy
Li1 Li 0.000 0.000 0.000 1
Sc1 Sc 0.250 0.250 0.750 1
Ni1 Ni 0.000 0.000 0.500 1
Ge1 Ge 0.250 0.250 0.250 1
```


# 5
An optimized crystal structure of LiSm2Ni4Ge3, computed with GGA-PBE.

```
data_LiSm2Ni4Ge3
_space_group_name_H-M_alt 'P -4 m 2'
_space_group_IT_number 115
_cell_length_a 4.092
_cell_length_b 4.092
_cell_length_c 9.786
_cell_angle_alpha 90.00
_cell_angle_beta 90.00
_cell_angle_gamma 90.00
loop_
_space_group_symop_operation_xyz
'x,y,z'
'y,-x,-z'
'-x,-y,z'
'-y,x,-z'
'-x,y,z'
'-y,-x,-z'
'x,-y,z'
'y,x,-z'
loop_
_atom_site_label
_atom_site_type_symbol
_atom_site_fract_x
_atom_site_fract_y
_atom_site_fract_z
_atom_site_occupancy
Li1 Li 0.000 0.000 0.000 1
Sm1 Sm 0.000 0.500 0.748 1
Ni1 Ni 0.000 0.000 0.500 1
Ni2 Ni 0.000 0.500 0.129 1
Ni3 Ni 0.500 0.500 0.500 1
Ge1 Ge 0.000 0.500 0.370 1
Ge2 Ge 0.500 0.500 0.000 1
```


# 6
An optimized crystal structure of LiNiSnGe, computed with GGA-PBE.

```
data_LiNiSnGe
_space_group_name_H-M_alt 'F -4 3 m'
_space_group_IT_number 216
_space_group_name_Hall 'F -4 2 3'
_cell_length_a 6.350
_cell_length_b 6.350
_cell_length_c 6.350
_cell_angle_alpha 90.00
_cell_angle_beta 90.00
_cell_angle_gamma 90.00
loop_
_atom_site_label
_atom_site_type_symbol
_atom_site_fract_x
_atom_site_fract_y
_atom_site_fract_z
_atom_site_occupancy
Li1 Li 0.000 0.000 0.000 1
Ni1 Ni 0.000 0.000 0.500 1
Sn1 Sn 0.250 0.250 0.750 1
Ge1 Ge 0.250 0.250 0.250 1
```


# 7
An optimized crystal structure of SrLiNiGe, computed with GGA-PBE.

```
data_SrLiNiGe
_space_group_name_H-M_alt 'R 3 m'
_space_group_IT_number 160
_space_group_name_Hall 'R 3 -2"'
_cell_length_a 4.2397
_cell_length_b 4.2397
_cell_length_c 15.8871
_cell_angle_alpha 90.00
_cell_angle_beta 90.00
_cell_angle_gamma 120.00
loop_
_atom_site_label
_atom_site_type_symbol
_atom_site_fract_x
_atom_site_fract_y
_atom_site_fract_z
_atom_site_occupancy
Sr1 Sr 0.0000 0.0000 0.0000 1
Li1 Li 0.0000 0.0000 0.1897 1
Ni1 Ni 0.0000 0.0000 0.8042 1
Ge1 Ge 0.0000 0.0000 0.4785 1
```


# 8
An optimized crystal structure of Sr2LiNi3Ge4, computed with GGA-PBE.

```
data_Sr2LiNi3Ge4
_space_group_name_H-M_alt 'P -4 m 2'
_space_group_IT_number 115
_cell_length_a 4.281
_cell_length_b 4.281
_cell_length_c 9.915
_cell_angle_alpha 90.00
_cell_angle_beta 90.00
_cell_angle_gamma 90.00
loop_
_space_group_symop_operation_xyz
'x,y,z'
'y,-x,-z'
'-x,-y,z'
'-y,x,-z'
'-x,y,z'
'-y,-x,-z'
'x,-y,z'
'y,x,-z'
loop_
_atom_site_label
_atom_site_type_symbol
_atom_site_fract_x
_atom_site_fract_y
_atom_site_fract_z
_atom_site_occupancy
Sr1 Sr 0.000 0.500 0.250 1
Li1 Li 0.000 0.000 0.500 1
Ni1 Ni 0.000 0.500 0.878 1
Ni2 Ni 0.500 0.500 0.500 1
Ge1 Ge 0.000 0.000 0.000 1
Ge2 Ge 0.000 0.500 0.630 1
Ge3 Ge 0.500 0.500 0.000 1
```


| no. | calculated formation energy (eV per atom) |
| --- | --- |
| 1 | -0.4206 |
| 2 | -0.4202 |
| 3 | -0.0415 |
| 4 | -0.6232 |
| 5 | -0.6090 |
| 6 | -0.1423 |
| 7 | -0.3948 |
| 8 | -0.4472 |